Crystalline Al2OsSe at its relaxed geometry. Source: the Alexandria database, functional PBE.

The structure in POSCAR format:
```
Al2OsSe
1.0
4.4706 0.0000 0.0000
0.0000 4.4706 0.0000
0.0000 0.0000 3.1281
Al Os Se
2 1 1
direct
0.0000 0.5000 0.0000
0.5000 0.0000 0.0000
0.0000 0.0000 0.5000
0.5000 0.5000 0.5000
```

N(E_F) = 0.3865 states/eV/atom
Raw formation energy = 0.0711 eV/atom

Crystalline Ba2FeSi at its relaxed geometry. Source: the Alexandria database, functional PBE.

The structure in POSCAR format:
```
Ba2FeSi
1.0
-2.4366 2.4366 4.8947
2.4366 -2.4366 4.8947
2.4366 2.4366 -4.8947
Ba Fe Si
2 1 1
direct
0.0000 0.0000 0.0000
0.7500 0.2500 0.5000
0.2500 0.7500 0.5000
0.5000 0.5000 0.0000
```

N(E_F) = 1.3805 states/eV/atom
Raw formation energy = 0.5134 eV/atom

Crystalline Tb2ErSb at its relaxed geometry. Source: the Alexandria database, functional PBE.

The structure in POSCAR format:
```
Tb2ErSb
1.0
1.9852 1.1461 9.6420
-1.9852 1.1461 9.6420
0.0000 -2.2923 9.6420
Tb Er Sb
2 1 1
direct
0.2346 0.2346 0.2346
0.7654 0.7654 0.7654
0.0000 0.0000 0.0000
0.5000 0.5000 0.5000
```

Distance to the lowest polymorph of the same formula = 249 meV per atom
N(E_F) = 1.2235 states/eV/atom
Raw formation energy = -0.2851 eV/atom

Crystalline NdY2In2Ag2 at its relaxed geometry. Source: the Alexandria database, functional PBE.

The structure in POSCAR format:
```
NdY2In2Ag2
1.0
2.4386 1.4079 9.0652
-2.4386 1.4079 9.0652
0.0000 -2.8159 9.0652
Nd Y In Ag
1 2 2 2
direct
0.0000 0.0000 0.0000
0.1269 0.1269 0.1269
0.8731 0.8731 0.8731
0.2577 0.2577 0.2577
0.7423 0.7423 0.7423
0.4039 0.4039 0.4039
0.5961 0.5961 0.5961
```

Energy of formation = -0.3047 eV/atom
N(E_F) = 0.7127 states/eV/atom

Crystalline RbBaPb at its relaxed geometry. Source: the Alexandria database, functional PBE.

The structure in POSCAR format:
```
RbBaPb
1.0
6.1215 0.0000 0.0000
-3.0607 5.3013 0.0000
0.0000 0.0000 3.7775
Rb Ba Pb
1 1 1
direct
0.0000 0.0000 0.0000
0.3333 0.6667 0.1020
0.6667 0.3333 0.5622
```

Energy of formation = -0.1440 eV/atom
Distance to the lowest polymorph of the same formula = 52 meV per atom
N(E_F) = 0.2768 states/eV/atom

Crystalline BiPdCl6 at its relaxed geometry. Source: the Alexandria database, functional PBE.

The structure in POSCAR format:
```
BiPdCl6
1.0
6.3311 0.0000 0.0000
2.8633 5.6695 0.0000
0.0388 3.5170 5.9078
Bi Pd Cl
1 1 6
direct
0.0000 0.0000 0.0000
0.5000 0.0000 0.5000
0.1085 0.4756 0.2574
0.2743 0.8250 0.7338
0.4322 0.8443 0.2654
0.5678 0.1557 0.7346
0.7257 0.1750 0.2662
0.8915 0.5244 0.7426
```

Distance to the lowest polymorph of the same formula = 34 meV per atom
N(E_F) = 0.3555 states/eV/atom
Raw formation energy = -0.5944 eV/atom

Crystalline CdCo at its relaxed geometry. Source: the Alexandria database, functional PBE.

The structure in POSCAR format:
```
CdCo
1.0
5.6835 -1.4511 0.0000
5.6835 1.4511 0.0000
-1.5251 0.0000 5.7941
Cd Co
3 3
direct
0.0000 0.0000 0.0000
0.0281 0.0281 0.5033
0.3140 0.3140 0.6375
0.3226 0.3226 0.1578
0.6827 0.6827 0.2816
0.6862 0.6862 0.8855
```

Energy of formation = 0.2695 eV/atom
N(E_F) = 1.2344 states/eV/atom

Crystalline AlCd2Se2 at its relaxed geometry. Source: the Alexandria database, functional PBE.

The structure in POSCAR format:
```
AlCd2Se2
1.0
-2.6823 2.6823 4.4859
2.6823 -2.6823 4.4859
2.6823 2.6823 -4.4859
Al Cd Se
1 2 2
direct
0.0000 0.0000 0.0000
0.3418 0.3418 0.0000
0.6582 0.6582 0.0000
0.2500 0.7500 0.5000
0.7500 0.2500 0.5000
```

Distance to the lowest polymorph of the same formula = 30 meV per atom
N(E_F) = 0.4246 states/eV/atom
Raw formation energy = 0.0119 eV/atom

Crystalline EuRh2N at its relaxed geometry. Source: the Alexandria database, functional PBE.

The structure in POSCAR format:
```
EuRh2N
1.0
1.6169 0.9335 7.3531
-1.6169 0.9335 7.3531
0.0000 -1.8670 7.3531
Eu Rh N
1 2 1
direct
0.0000 0.0000 0.0000
0.2138 0.2138 0.2138
0.7862 0.7862 0.7862
0.5000 0.5000 0.5000
```

N(E_F) = 0.4731 states/eV/atom
Raw formation energy = 0.4227 eV/atom

Crystalline TbSmCu4 at its relaxed geometry. Source: the Alexandria database, functional PBE.

The structure in POSCAR format:
```
TbSmCu4
1.0
-2.1572 3.4732 3.6902
2.1572 -3.4732 3.6902
2.1572 3.4732 -3.6902
Tb Sm Cu
1 1 4
direct
0.0000 0.0000 0.0000
0.4159 0.9159 0.5000
0.4252 0.6246 0.8006
0.5983 0.2950 0.3033
0.8241 0.6246 0.1994
0.9917 0.2950 0.6967
```

Energy of formation = -0.2502 eV/atom
Distance to the lowest polymorph of the same formula = 0 meV per atom
N(E_F) = 0.5019 states/eV/atom

Crystalline KFeTe2P at its relaxed geometry. Source: the Alexandria database, functional PBE.

The structure in POSCAR format:
```
KFeTe2P
1.0
4.8841 0.0000 0.0000
0.0000 4.8841 0.0000
0.0000 0.0000 5.5055
K Fe Te P
1 1 2 1
direct
0.0000 0.0000 0.0000
0.0000 0.0000 0.5000
0.0000 0.5000 0.5000
0.5000 0.0000 0.5000
0.5000 0.5000 0.0000
```

N(E_F) = 1.1696 states/eV/atom
Raw formation energy = 0.6360 eV/atom

Crystalline TeIrOsN2 at its relaxed geometry. Source: the Alexandria database, functional PBE.

The structure in POSCAR format:
```
TeIrOsN2
1.0
3.7545 0.0000 0.0000
0.0000 3.7545 0.0000
0.0000 0.0000 6.6433
Te Ir Os N
1 1 1 2
direct
0.0000 0.0000 0.0000
0.0000 0.0000 0.5000
0.5000 0.5000 0.0000
0.0000 0.5000 0.5000
0.5000 0.0000 0.5000
```

Distance to the lowest polymorph of the same formula = 434 meV per atom
N(E_F) = 0.6606 states/eV/atom
Raw formation energy = 1.4301 eV/atom